Material: Cs3Sb3Au8
Method: DFT, PBE
State: optimized geometry Values from VASP.

Cell and atoms, written as Quantum ESPRESSO input:
```
&SYSTEM
  ibrav = 0, nat = 14, ntyp = 3
/
ATOMIC_SPECIES
Cs 132.91 Cs.upf
Sb 121.76 Sb.upf
Au 196.97 Au.upf
CELL_PARAMETERS angstrom
-2.411 6.248 7.263
2.411 -6.248 7.263
2.411 6.248 -7.263
ATOMIC_POSITIONS crystal
Cs 0.000 0.000 0.000
Cs 0.280 0.280 0.000
Cs 0.720 0.720 0.000
Sb 0.308 0.500 0.808
Sb 0.500 0.000 0.500
Sb 0.692 0.500 0.192
Au 0.037 0.301 0.736
Au 0.169 0.895 0.274
Au 0.379 0.105 0.274
Au 0.435 0.699 0.736
Au 0.565 0.301 0.264
Au 0.621 0.895 0.726
Au 0.831 0.105 0.726
Au 0.963 0.699 0.264
```

Output
Its total energy is -3.118 eV per atom.

=====

Material: CsSbAu3
Method: DFT, PBE
State: optimized geometry Values from VASP.

Cell and atoms, written as Quantum ESPRESSO input:
```
&SYSTEM
  ibrav = 0, nat = 5, ntyp = 3
/
ATOMIC_SPECIES
Cs 132.91 Cs.upf
Sb 121.76 Sb.upf
Au 196.97 Au.upf
CELL_PARAMETERS angstrom
3.896 0.000 0.000
0.000 3.638 5.036
0.000 -3.638 5.036
ATOMIC_POSITIONS crystal
Cs 0.000 0.000 0.000
Sb 0.500 0.367 0.367
Au 0.000 0.562 0.562
Au 0.500 0.533 0.913
Au 0.500 0.913 0.533
```

Output
The value obtained for the energy above the lowest structure with this stoichiometry is 0.031 eV/atom. Its total energy is -3.201 eV per atom.

=====

| no. | density of states at the Fermi level (states/eV/f.u.) | uncorrected formation energy (kJ per mole of atoms) | total moment (μB per formula unit) |
| --- | --- | --- | --- |
| 1 | 4.095 | -17.2 | 0.000 |
| 2 | 1.829 | -23.1 | 0.000 |